Pm2PrGe6: optimized geometry, PBE-GGA.

Summary:
The formation energy from the elements comes out at -5.21 eV per formula unit. The space group is P6/mmm.

```
9
Lattice="4.052 0.000 0.000 0.000 6.662 -3.846 0.000 0.000 7.692" Properties=species:S:1:pos:R:3 pbc="T T T"
Ge 2.026 2.230 1.287
Pr 0.000 0.000 7.692
Pm 0.000 2.221 3.846
Ge 2.026 4.432 5.134
Ge 2.026 4.432 2.559
Ge 2.026 0.000 5.118
Ge 2.026 2.230 -1.287
Pm 4.052 4.441 0.000
Ge 2.026 6.662 -1.272
```



Ac2La4Sn3N2: optimized geometry, PBE-GGA.

Summary:
The electronic total energy is -6.110 eV/atom. The space group is I4/mmm.

```
11
Lattice="-2.936 -1.581 -3.762 -1.154 -4.123 2.634 -8.437 9.286 6.042" Properties=species:S:1:pos:R:3 pbc="T T T"
N -4.194 -1.534 0.559
Sn -3.621 2.222 1.892
La -3.218 0.283 -0.966
La -2.327 -0.988 2.232
Ac -6.124 -0.349 1.568
La -10.200 4.569 2.683
N -8.334 5.115 4.356
Sn -8.907 1.359 3.022
La -9.309 3.298 5.881
Ac -6.404 3.931 3.347
Sn 0.000 0.000 0.000
```



TlCdF3: optimized geometry, PBE-GGA.

Summary:
The electronic total energy is -3.541 eV/atom. The space group is I-4m2.

```
10
Lattice="5.048 0.000 0.000 0.000 5.048 0.000 2.524 2.524 7.448" Properties=species:S:1:pos:R:3 pbc="T T T"
Cd 0.000 0.000 0.000
Tl 5.048 2.524 2.114
F 2.524 6.265 5.754
F 2.524 3.831 5.754
F 3.741 5.048 1.695
Tl 5.048 2.524 5.334
F 2.524 2.524 3.208
Cd 2.524 5.048 3.724
F 5.048 5.048 4.240
F 1.307 5.048 1.695
```



AcPr2Tl2Hg2: optimized geometry, PBE-GGA.

Summary:
The formation energy from the elements comes out at -1.89 eV per formula unit. The space group is R-3m.

```
7
Lattice="-1.027 -5.001 0.426 3.732 -3.285 1.236 -1.095 -1.567 9.765" Properties=species:S:1:pos:R:3 pbc="T T T"
Hg 0.411 -4.691 7.529
Pr -0.284 -2.052 6.024
Pr 1.894 -7.801 5.403
Tl 1.104 -7.328 9.050
Ac 0.000 0.000 0.000
Hg 1.199 -5.162 3.898
Tl 0.507 -2.526 2.377
```



CaCr2Re: optimized geometry, PBE-GGA.

Summary:
The formation energy from the elements comes out at 3.15 eV per formula unit. The energy above the most stable polymorph in this dataset comes out at 304.4 meV/atom. The space group is P4/mmm.

```
4
Lattice="4.516 0.000 0.000 0.000 4.516 0.000 0.000 0.000 3.100" Properties=species:S:1:pos:R:3 pbc="T T T"
Re 2.258 0.000 1.550
Cr 2.258 2.258 0.000
Ca 0.000 2.258 1.550
Cr 0.000 0.000 0.000
```



TeOsO2: optimized geometry, PBE-GGA.

Summary:
The electronic total energy is -6.052 eV/atom. The space group is Fd-3m.

```
8
Lattice="-2.098 -4.723 -3.173 3.320 1.731 -4.771 3.877 -3.890 -2.568" Properties=species:S:1:pos:R:3 pbc="T T T"
Te 3.904 -1.828 -5.655
O 2.533 -4.474 -3.709
Te 0.611 -1.496 -3.972
O 1.210 -4.020 -6.398
Os 1.195 -5.055 -4.856
O 1.489 -6.833 -5.302
O -0.453 -4.892 -4.017
Os 0.000 0.000 0.000
```



Cs2KCdAs: optimized geometry, PBE-GGA.

Summary:
The formation energy from the elements comes out at -0.32 eV per formula unit. The energy above the most stable polymorph in this dataset comes out at 23.2 meV/atom. The space group is P4/mmm.

```
5
Lattice="7.152 0.000 0.000 0.000 7.152 0.000 0.000 0.000 6.460" Properties=species:S:1:pos:R:3 pbc="T T T"
K 0.000 0.000 3.230
As 0.000 0.000 0.000
Cs 0.000 3.576 0.000
Cs 3.576 0.000 0.000
Cd 3.576 3.576 3.230
```



Tb4AlZn2Ag: optimized geometry, PBE-GGA.

Summary:
The formation energy from the elements comes out at -2.76 eV per formula unit. The space group is R-3m.

```
8
Lattice="-2.762 -2.031 3.777 1.429 -4.417 2.114 4.162 2.029 7.579" Properties=species:S:1:pos:R:3 pbc="T T T"
Tb 3.151 -0.634 8.852
Ag 1.415 -2.209 6.735
Al 0.000 0.000 0.000
Zn 2.149 -3.289 10.136
Tb -0.322 -3.785 4.618
Zn 0.680 -1.130 3.334
Tb 2.446 0.473 5.487
Tb 0.383 -4.891 7.982
```



Record order is preserved below.
Spin magnetization: 0.000, 0.000, 0.000, 0.000, 0.746, 0.000, 0.030, 0.000 μB/atom